The following is a PBE+U calculation of crystalline MnAs2SeO at its relaxed geometry, from Alexandria via LeMat-Bulk.

The structure in extended XYZ format:
```
5
Lattice="-4.158 1.015 -1.590 -0.426 -4.254 -1.603 -1.780 -1.271 3.845" Properties=species:S:1:pos:R:3 pbc="T T T"
Mn 0.000 0.000 0.000
As -2.079 0.508 -0.795
As -0.213 -2.127 -0.802
O -3.182 -2.255 0.326
Se -0.890 -0.635 1.922
```

Output
ΔE to the lowest computed polymorph (meV per atom): 1010
Magnetic moment (μB/f.u.): 0.178
Electronic total energy (eV per atom): -3.789